(1)
A plane-wave DFT calculation with PBE was carried out for a geometry-optimized Nd2Sm3ThP6 structure.

Unit cell a=4.137 b=8.268 c=9.235 alpha=102.83 beta=102.94 gamma=90.00
Element x y z (fractional)
1 P 0.001 0.752 0.002
2 Nd 0.168 0.336 0.335
3 Sm 0.168 0.832 0.335
4 Sm 0.500 0.500 0.000
5 P 0.666 0.080 0.331
6 Sm 0.832 0.168 0.665
7 P 0.334 0.920 0.669
8 Th 0.500 0.000 0.000
9 P 0.999 0.248 0.998
10 P 0.666 0.586 0.331
11 Nd 0.832 0.664 0.665
12 P 0.334 0.414 0.669

The total energy is -82.5 eV per cell. As for the calculated volume: 24.98 Å³/atom. As for the theoretical density: 6.41 Mg/m³. Its space group is C2/m (12).

***

(2)
A plane-wave DFT calculation with PBE was carried out for a geometry-optimized NdSm2ThP4 structure.

Unit cell a=4.136 b=7.155 c=7.146 alpha=109.45 beta=90.00 gamma=90.00
Element x y z (fractional)
1 P 0.500 0.747 0.749
2 Nd 0.000 0.000 0.000
3 Sm 0.500 0.000 0.500
4 P 0.000 0.252 0.749
5 P 0.500 0.253 0.251
6 Th 0.500 0.500 0.000
7 Sm 0.000 0.500 0.500
8 P 0.000 0.748 0.251

The total energy is -56.0 eV per cell. As for the calculated volume: 24.92 Å³/atom. As for the theoretical density: 6.67 Mg/m³. Its space group is P2/m (10).

***

(3)
A plane-wave DFT calculation with PBE was carried out for a geometry-optimized NdSmTh2P4 structure.

Unit cell a=4.147 b=7.158 c=7.182 alpha=70.38 beta=90.00 gamma=90.00
Element x y z (fractional)
1 P 0.000 0.753 0.747
2 P 0.000 0.247 0.253
3 Nd 0.500 0.500 0.000
4 Th 0.000 0.000 0.000
5 Sm 0.000 0.500 0.500
6 P 0.500 0.248 0.749
7 P 0.500 0.752 0.251
8 Th 0.500 0.000 0.500

The total energy is -58.5 eV per cell. As for the calculated volume: 25.10 Å³/atom. As for the theoretical density: 7.30 Mg/m³. Its space group is P2/m (10).

***

(4)
A plane-wave DFT calculation with PBE was carried out for a geometry-optimized NdSm2Th3P6 structure.

Unit cell a=7.172 b=7.172 c=7.144 alpha=99.65 beta=99.65 gamma=119.92
Element x y z (fractional)
1 P 0.252 0.252 0.749
2 P 0.581 0.916 0.748
3 Nd 0.000 0.000 0.000
4 Sm 0.333 0.667 0.000
5 P 0.748 0.748 0.251
6 P 0.084 0.419 0.252
7 Sm 0.667 0.333 0.000
8 P 0.419 0.084 0.252
9 Th 0.500 0.500 0.500
10 Th 0.166 0.834 0.500
11 Th 0.834 0.166 0.500
12 P 0.916 0.581 0.748

The total energy is -87.8 eV per cell. As for the calculated volume: 25.00 Å³/atom. As for the theoretical density: 7.34 Mg/m³. Its space group is C2/m (12).

***

(5)
A plane-wave DFT calculation with PBE was carried out for a geometry-optimized NdSm3Tm2P6 structure.

Unit cell a=7.043 b=7.043 c=7.043 alpha=99.60 beta=99.60 gamma=120.00
Element x y z (fractional)
1 P 0.918 0.578 0.755
2 P 0.422 0.082 0.245
3 Nd 0.000 0.000 0.000
4 Sm 0.835 0.165 0.500
5 Tm 0.667 0.333 0.000
6 Sm 0.500 0.500 0.500
7 P 0.082 0.422 0.245
8 Sm 0.165 0.835 0.500
9 P 0.259 0.259 0.756
10 Tm 0.333 0.667 0.000
11 P 0.741 0.741 0.244
12 P 0.578 0.918 0.755

The total energy is -79.1 eV per cell. As for the calculated volume: 23.77 Å³/atom. As for the theoretical density: 6.51 Mg/m³. Its space group is C2/m (12).

***

(6)
A plane-wave DFT calculation with PBE was carried out for a geometry-optimized NdSm2UP4 structure.

Unit cell a=5.760 b=5.760 c=7.060 alpha=114.08 beta=114.08 gamma=90.00
Element x y z (fractional)
1 P 0.990 0.490 0.979
2 Sm 0.250 0.750 0.500
3 U 0.750 0.250 0.500
4 Nd 0.500 0.500 0.000
5 P 0.751 0.751 0.503
6 Sm 0.000 0.000 0.000
7 P 0.510 0.010 0.021
8 P 0.249 0.249 0.497

The total energy is -58.3 eV per cell. As for the calculated volume: 23.92 Å³/atom. As for the theoretical density: 7.00 Mg/m³. Its space group is I-4m2 (119).

***

(7)
A plane-wave DFT calculation with PBE was carried out for a geometry-optimized Nd2Sm3YP6 structure.

Unit cell a=4.115 b=8.225 c=9.195 alpha=102.94 beta=102.93 gamma=90.00
Element x y z (fractional)
1 P 0.334 0.415 0.668
2 Nd 0.834 0.668 0.668
3 P 0.665 0.080 0.330
4 Y 0.500 0.000 0.000
5 P 0.666 0.585 0.332
6 Nd 0.166 0.332 0.332
7 P 0.335 0.920 0.670
8 Sm 0.167 0.834 0.334
9 P 0.001 0.754 0.002
10 P 0.999 0.246 0.998
11 Sm 0.833 0.166 0.666
12 Sm 0.500 0.500 0.000

The total energy is -81.4 eV per cell. As for the calculated volume: 24.60 Å³/atom. As for the theoretical density: 5.71 Mg/m³. Its space group is C2/m (12).

***

(8)
A plane-wave DFT calculation with PBE was carried out for a geometry-optimized NdSm2YP4 structure.

Unit cell a=4.102 b=7.099 c=7.101 alpha=109.45 beta=90.00 gamma=90.00
Element x y z (fractional)
1 Sm 0.000 0.500 0.500
2 Y 0.000 0.000 0.000
3 P 0.500 0.755 0.752
4 P 0.500 0.245 0.248
5 Nd 0.500 0.500 0.000
6 Sm 0.500 0.000 0.500
7 P 0.000 0.754 0.251
8 P 0.000 0.246 0.749

The total energy is -54.9 eV per cell. As for the calculated volume: 24.37 Å³/atom. As for the theoretical density: 5.60 Mg/m³. Its space group is P2/m (10).